# Cu2IrPdS

A crystal of Cu2IrPdS relaxed with PBEsol (meta-GGA SCAN, Alexandria via LeMat-Bulk).

Geometry as POSCAR:
```
Cu2IrPdS
1.0
4.230 0.000 0.000
0.000 4.507 0.000
0.000 0.000 4.507
Cu S Ir Pd
2 1 1 1
Direct
0.000 0.500 0.000
0.000 0.000 0.500
0.500 0.000 0.000
0.500 0.500 0.500
0.000 0.000 0.000
```

Output
Raw formation energy   1.312 eV/atom
E   -137.339 eV for the cell shown


# Pm2CuIr

A crystal of Pm2CuIr relaxed with PBEsol (meta-GGA SCAN, Alexandria via LeMat-Bulk).

Geometry as POSCAR:
```
Pm2CuIr
1.0
4.918 0.000 0.000
2.459 4.259 0.000
2.459 1.420 4.015
Cu Pm Ir
1 2 1
Direct
0.000 0.000 0.000
0.750 0.750 0.750
0.250 0.250 0.250
0.500 0.500 0.500
```

Output
E   -176.541 eV for the cell shown
Energy of formation from the pure elements   -567.7 meV/atom


Q: Which formula does entry 1 have?
A: Cu2IrPdS